Entry 1:
Material: Cu2RePt
Method: DFT, meta-GGA SCAN
State: single point on PBEsol structure

## Properties
Crystal system = trigonal
DFT total energy = -42.84 eV per atom
Formation energy from the elements = 0.31 eV/f.u.
Space group = No. 160

a = 8.6356 Å, b = 8.6356 Å, c = 8.6356 Å
α = 17.93°, β = 17.93°, γ = 17.93°
Closest atoms and distances in Å follow each position.
Fractional positions:
Cu1 0.0000 0.0000 0.0000  9 Cu 2.50-2.69, 3 Re 2.64
Cu2 0.2566 0.2566 0.2566  9 Cu 2.50-2.69, 3 Pt 2.66
Re1 0.7505 0.7505 0.7505  3 Cu 2.64, 6 Re 2.69, 3 Pt 2.73
Pt1 0.5051 0.5051 0.5051  3 Cu 2.66, 6 Pt 2.69, 3 Re 2.73



Entry 2:
Material: HRuPt2
Method: DFT, meta-GGA SCAN
State: single point on PBEsol structure

## Properties
Crystal system = tetragonal
DFT total energy = -44.32 eV per atom
Space group = No. 122

a = 5.0163 Å, b = 5.0163 Å, c = 5.0163 Å
α = 105.90°, β = 105.90°, γ = 116.88°
Closest atoms and distances in Å follow each position.
Fractional positions:
H1 0.0000 0.0000 0.0000  4 Pt 1.89
H2 0.7500 0.2500 0.5000  4 Pt 1.89
Ru1 0.2500 0.7500 0.5000  2 H 2.63, 8 Pt 2.65-2.67
Ru2 0.5000 0.5000 0.0000  2 H 2.63, 8 Pt 2.65-2.67
Pt1 0.0268 0.6250 0.9018  2 H 1.89
Pt2 0.3750 0.2768 0.4018  2 H 1.89
Pt3 0.7232 0.1250 0.0982  2 H 1.89
Pt4 0.8750 0.9732 0.5982  2 H 1.89